No. 1
Crystalline K3CdIn at its relaxed geometry. Source: Alexandria via LeMat-Bulk, functional PBE.

Unit cell a=8.706 b=8.706 c=8.454 alpha=107.43 beta=119.32 gamma=103.51
Sites, in units of the cell vectors:
1 In 0.672 0.073 0.745
2 In 0.328 0.927 0.255
3 K 0.170 0.985 0.775
4 K 0.790 0.606 0.775
5 K 0.731 0.447 0.178
6 K 0.269 0.553 0.822
7 K 0.210 0.394 0.225
8 K 0.830 0.015 0.225
9 Cd 0.624 0.787 0.411
10 Cd 0.376 0.213 0.589

## Properties
ΔE_f	-0.004	eV/atom
space-group type	C2/m, No. 12
ΔE to the lowest computed polymorph	33.3	meV per atom

No. 2
Crystalline Sr2YMg3Cd12 at its relaxed geometry. Source: Alexandria via LeMat-Bulk, functional PBE.

Unit cell a=8.663 b=8.663 c=8.663 alpha=71.76 beta=71.76 gamma=71.76
Sites, in units of the cell vectors:
1 Cd 0.845 0.371 0.845
2 Cd 0.302 0.822 0.302
3 Cd 0.302 0.302 0.822
4 Cd 0.155 0.155 0.629
5 Cd 0.629 0.155 0.155
6 Cd 0.845 0.845 0.371
7 Cd 0.698 0.698 0.178
8 Cd 0.371 0.845 0.845
9 Cd 0.822 0.302 0.302
10 Cd 0.178 0.698 0.698
11 Cd 0.155 0.629 0.155
12 Cd 0.698 0.178 0.698
13 Mg 0.500 0.000 0.000
14 Mg 0.000 0.500 0.000
15 Mg 0.000 0.000 0.500
16 Sr 0.599 0.599 0.599
17 Sr 0.401 0.401 0.401
18 Y 0.000 0.000 0.000

## Properties
ΔE_f	0.131	eV/atom
space-group type	R-3m, No. 166

No. 3
Crystalline Pm2CuReO8 at its relaxed geometry. Source: Alexandria via LeMat-Bulk, functional PBE.

Unit cell a=4.270 b=5.405 c=6.813 alpha=81.28 beta=95.14 gamma=97.69
Sites, in units of the cell vectors:
1 O 0.802 0.052 0.243
2 O 0.207 0.325 0.448
3 O 0.685 0.733 0.956
4 O 0.793 0.675 0.552
5 O 0.315 0.267 0.044
6 O 0.787 0.238 0.837
7 O 0.213 0.762 0.163
8 O 0.198 0.948 0.757
9 Re 0.000 0.000 0.000
10 Cu 0.000 0.000 0.500
11 Pm 0.686 0.475 0.266
12 Pm 0.314 0.525 0.734

## Properties
uncorrected formation energy	-2075.2	meV/atom
space-group type	P-1, No. 2

No. 4
Crystalline CsLiDyBr5 at its relaxed geometry. Source: Alexandria via LeMat-Bulk, functional PBE.

Unit cell a=8.121 b=8.121 c=10.744 alpha=103.77 beta=103.77 gamma=106.73
Sites, in units of the cell vectors:
1 Dy 0.000 0.000 0.500
2 Dy 0.000 0.000 0.000
3 Br 0.706 0.104 0.401
4 Br 0.771 0.634 0.418
5 Br 0.366 0.229 0.082
6 Br 0.229 0.366 0.582
7 Br 0.896 0.294 0.099
8 Br 0.104 0.706 0.901
9 Br 0.935 0.065 0.750
10 Br 0.065 0.935 0.250
11 Br 0.634 0.771 0.918
12 Br 0.294 0.896 0.599
13 Li 0.307 0.693 0.750
14 Li 0.693 0.307 0.250
15 Cs 0.341 0.659 0.250
16 Cs 0.659 0.341 0.750

## Properties
uncorrected formation energy	-1783.8	meV/atom
space-group type	C2/c, No. 15

No. 5
Crystalline Tb2Pr4Sb3N2 at its relaxed geometry. Source: Alexandria via LeMat-Bulk, functional PBE.

Unit cell a=4.830 b=4.830 c=13.370 alpha=100.41 beta=100.41 gamma=90.00
Sites, in units of the cell vectors:
1 Pr 0.584 0.084 0.168
2 Pr 0.084 0.584 0.168
3 Pr 0.416 0.916 0.832
4 Pr 0.916 0.416 0.832
5 Sb 0.000 0.000 0.000
6 Sb 0.182 0.182 0.363
7 Sb 0.818 0.818 0.637
8 N 0.391 0.391 0.782
9 N 0.609 0.609 0.218
10 Tb 0.693 0.693 0.387
11 Tb 0.307 0.307 0.613

## Properties
uncorrected formation energy	-1106.2	meV/atom
space-group type	I4/mmm, No. 139

Asked for spin magnetization across the records above, the calculation gives 0.0 0.0 0.0 0.0 0.0 μB per cell in order.